HfCu3N (GGA-PBE, optimized geometry); uncorrected formation energy = 0.48 eV/atom; crystal system = cubic; energy above the lowest structure with this stoichiometry = 0.0 kJ per mole of atoms
1.0
4.0388 0.0000 0.0000
0.0000 4.0388 0.0000
0.0000 0.0000 4.0388
Hf Cu N
1 3 1
direct
0.5000 0.5000 0.5000
0.5000 0.0000 0.0000
0.0000 0.0000 0.5000
0.0000 0.5000 0.0000
0.0000 0.0000 0.0000